(1)
The following is a PBE-GGA calculation of GdLuAl4 after structural relaxation, from Alexandria.

Results
- Energy relative to the elements: -0.51 eV per atom
- E_tot: -6.100 eV per atom

Lattice parameters (Å, degrees): 5.5407 5.5407 5.5407 60.00 60.00 60.00
Atoms (fractional coordinates):
Gd1 0.7500 0.7500 0.7500
Lu1 0.0000 0.0000 0.0000
Al1 0.3749 0.3749 0.3749
Al2 0.3749 0.8753 0.3749
Al3 0.8753 0.3749 0.3749
Al4 0.3749 0.3749 0.8753

(2)
The following is a PBE-GGA calculation of GdLu2Al after structural relaxation, from Alexandria.

Results
- Distance to the lowest polymorph of the same formula: 161 meV/atom
- Energy relative to the elements: -0.03 eV per atom
- E_tot: -6.747 eV per atom

Lattice parameters (Å, degrees): 5.2763 5.2763 5.2763 60.00 60.00 60.00
Atoms (fractional coordinates):
Gd1 0.0000 0.0000 0.0000
Lu1 0.2500 0.2500 0.2500
Lu2 0.7500 0.7500 0.7500
Al1 0.5000 0.5000 0.5000

(3)
The following is a PBE-GGA calculation of GdLu2Al after structural relaxation, from Alexandria.

Results
- Distance to the lowest polymorph of the same formula: 0 meV/atom
- Energy relative to the elements: -0.19 eV per atom
- E_tot: -6.907 eV per atom

Lattice parameters (Å, degrees): 4.6947 4.7067 4.7067 90.00 90.00 90.00
Atoms (fractional coordinates):
Gd1 0.5000 0.5000 0.5000
Lu1 0.0000 0.0000 0.5000
Lu2 0.0000 0.5000 0.0000
Al1 0.5000 0.0000 0.0000

(4)
The following is a PBE-GGA calculation of GdLuAl2 after structural relaxation, from Alexandria.

Results
- Distance to the lowest polymorph of the same formula: 5 meV/atom
- Energy relative to the elements: -0.39 eV per atom
- E_tot: -6.909 eV per atom

Lattice parameters (Å, degrees): 5.0606 5.0606 5.0606 60.00 60.00 60.00
Atoms (fractional coordinates):
Gd1 0.0000 0.0000 0.0000
Lu1 0.5000 0.5000 0.5000
Al1 0.2500 0.2500 0.2500
Al2 0.7500 0.7500 0.7500